1.
## TbTi4Ir5 (PBE)

Data for a geometry-optimized TbTi4Ir5 structure.

Summary:
For the size of the total moment, the calculation gives 0.00 μB/atom. Its formation energy is -8.09 eV/f.u. Its density of states at the Fermi level is 7.20 states/eV/f.u.

abc: 3.117 3.117 16.636
angles: 90.00 90.00 90.00
Sites, in units of the cell vectors:
Ti 0.000 0.000 0.218
Ir 0.500 0.500 0.868
Ir 0.500 0.500 0.684
Tb 0.000 0.000 0.000
Ir 0.500 0.500 0.500
Ir 0.500 0.500 0.316
Ti 0.000 0.000 0.407
Ti 0.000 0.000 0.782
Ir 0.500 0.500 0.132
Ti 0.000 0.000 0.593

2.
## Tb4Tl5Ir2 (PBE)

Data for a geometry-optimized Tb4Tl5Ir2 structure.

Summary:
For the size of the total moment, the calculation gives 0.00 μB/atom. Its formation energy is -5.10 eV/f.u. Its density of states at the Fermi level is 8.70 states/eV/f.u.

abc: 3.676 7.948 9.780
angles: 94.33 90.00 90.00
Sites, in units of the cell vectors:
Tl 0.000 0.154 0.137
Tb 0.500 0.812 0.161
Ir 0.000 0.922 0.363
Tb 0.500 0.794 0.564
Ir 0.000 0.078 0.637
Tl 0.000 0.500 0.000
Tl 0.000 0.460 0.666
Tb 0.500 0.188 0.839
Tb 0.500 0.206 0.436
Tl 0.000 0.846 0.863
Tl 0.000 0.540 0.334

3.
## Tb7TlIr2 (PBE)

Data for a geometry-optimized Tb7TlIr2 structure.

Summary:
For the size of the total moment, the calculation gives 0.00 μB/atom. Its formation energy is -2.82 eV/f.u. Its density of states at the Fermi level is 9.50 states/eV/f.u.

abc: 5.302 8.201 8.201
angles: 114.21 90.00 90.00
Sites, in units of the cell vectors:
Ir 0.500 0.296 0.704
Tb 0.000 0.710 0.290
Ir 0.500 0.704 0.296
Tl 0.000 0.000 0.000
Tb 0.500 0.316 0.056
Tb 0.000 0.290 0.710
Tb 0.500 0.944 0.684
Tb 0.500 0.684 0.944
Tb 0.500 0.056 0.316
Tb 0.500 0.500 0.500

4.
## Tb3TlIr2 (PBE)

Data for a geometry-optimized Tb3TlIr2 structure.

Summary:
For the size of the total moment, the calculation gives 0.00 μB/atom. Its formation energy is -3.94 eV/f.u. Its density of states at the Fermi level is 4.67 states/eV/f.u.

abc: 3.417 3.417 11.986
angles: 90.00 90.00 90.00
Sites, in units of the cell vectors:
Ir 0.500 0.500 0.850
Tb 0.000 0.000 0.288
Tb 0.000 0.000 0.712
Tb 0.000 0.000 0.000
Ir 0.500 0.500 0.150
Tl 0.500 0.500 0.500

Q: Which value of size of the total moment does entry 1 give?
A: 0.00 μB/atom